Record 1
# PmTmPbBr

A relaxed structure of PmTmPbBr (PBE, Alexandria via LeMat-Bulk).

a = 7.6109 Å, b = 7.6109 Å, c = 7.6109 Å
α = 90.00°, β = 90.00°, γ = 90.00°
Closest atoms and distances in Å follow each position.
Fractional coordinates of all 16 atoms:
Pm 0.0000 0.0000 0.0000  4 Pb 3.30, 4 Br 3.30
Pm 0.0000 0.5000 0.5000  4 Pb 3.30, 4 Br 3.30
Pm 0.5000 0.0000 0.5000  4 Pb 3.30, 4 Br 3.30
Pm 0.5000 0.5000 0.0000  4 Pb 3.30, 4 Br 3.30
Tm 0.0000 0.0000 0.5000  4 Pb 3.30, 4 Br 3.30
Tm 0.0000 0.5000 0.0000  4 Pb 3.30, 4 Br 3.30
Tm 0.5000 0.0000 0.0000  4 Pb 3.30, 4 Br 3.30
Tm 0.5000 0.5000 0.5000  4 Pb 3.30, 4 Br 3.30
Pb 0.2500 0.2500 0.2500  4 Pm 3.30, 4 Tm 3.30
Pb 0.2500 0.7500 0.7500  4 Pm 3.30, 4 Tm 3.30
Pb 0.7500 0.2500 0.7500  4 Pm 3.30, 4 Tm 3.30
Pb 0.7500 0.7500 0.2500  4 Pm 3.30, 4 Tm 3.30
Br 0.2500 0.2500 0.7500  4 Pm 3.30, 4 Tm 3.30
Br 0.2500 0.7500 0.2500  4 Pm 3.30, 4 Tm 3.30
Br 0.7500 0.2500 0.2500  4 Pm 3.30, 4 Tm 3.30
Br 0.7500 0.7500 0.7500  4 Pm 3.30, 4 Tm 3.30

Computed properties:
SG: F-43m, No. 216
Raw formation energy, meV per atom: -676
VASP energy, eV/atom: -4.326
V, Å³/cell: 440.9
Fermi-level density of states, states/eV/f.u.: 4.02
Size of the total moment, μB/cell: 0.04

Record 2
# Pr6PbBr8

A relaxed structure of Pr6PbBr8 (PBE, Alexandria via LeMat-Bulk).

a = 11.9062 Å, b = 11.9062 Å, c = 11.9062 Å
α = 36.01°, β = 36.01°, γ = 36.01°
Closest atoms and distances in Å follow each position.
Fractional coordinates of all 15 atoms:
Pr 0.0983 0.4467 0.7938  5 Br 3.00-3.08, 1 Pb 3.12
Pr 0.2062 0.9017 0.5533  5 Br 3.00-3.08, 1 Pb 3.12
Pr 0.4467 0.7938 0.0983  5 Br 3.00-3.08, 1 Pb 3.12
Pr 0.5533 0.2062 0.9017  5 Br 3.00-3.08, 1 Pb 3.12
Pr 0.7938 0.0983 0.4467  5 Br 3.00-3.08, 1 Pb 3.12
Pr 0.9017 0.5533 0.2062  5 Br 3.00-3.08, 1 Pb 3.12
Pb 0.5000 0.5000 0.5000  6 Pr 3.12
Br 0.0709 0.7109 0.3903  3 Pr 3.07-3.08
Br 0.1665 0.1665 0.1665  6 Pr 3.00
Br 0.2891 0.6097 0.9291  3 Pr 3.07-3.08
Br 0.3903 0.0709 0.7109  3 Pr 3.07-3.08
Br 0.6097 0.9291 0.2891  3 Pr 3.07-3.08
Br 0.7109 0.3903 0.0709  3 Pr 3.07-3.08
Br 0.8335 0.8335 0.8335  6 Pr 3.00
Br 0.9291 0.2891 0.6097  3 Pr 3.07-3.08

Computed properties:
SG: R-3, No. 148
Raw formation energy, meV per atom: -1388
VASP energy, eV/atom: -4.439
V, Å³/cell: 521.8
Fermi-level density of states, states/eV/f.u.: 4.50
Size of the total moment, μB/cell: 0.00

Record 3
# Pr2PbBr

A relaxed structure of Pr2PbBr (PBE, Alexandria via LeMat-Bulk).

a = 4.4724 Å, b = 4.4724 Å, c = 23.3982 Å
α = 90.00°, β = 90.00°, γ = 120.00°
Closest atoms and distances in Å follow each position.
Fractional coordinates of all 12 atoms:
Pr 0.0000 0.0000 0.0000  3 Pb 3.15, 3 Br 3.38
Pr 0.0000 0.0000 0.1811  3 Pb 3.12, 3 Br 3.30
Pr 0.3333 0.6667 0.6667  3 Pb 3.15, 3 Br 3.38
Pr 0.3333 0.6667 0.8478  3 Pb 3.12, 3 Br 3.30
Pr 0.6667 0.3333 0.3333  3 Pb 3.15, 3 Br 3.38
Pr 0.6667 0.3333 0.5144  3 Pb 3.12, 3 Br 3.30
Pb 0.0000 0.0000 0.5896  6 Pr 3.12-3.15
Pb 0.3333 0.6667 0.2563  6 Pr 3.12-3.15
Pb 0.6667 0.3333 0.9229  6 Pr 3.12-3.15
Br 0.0000 0.0000 0.7601  6 Pr 3.30-3.38
Br 0.3333 0.6667 0.4268  6 Pr 3.30-3.38
Br 0.6667 0.3333 0.0934  6 Pr 3.30-3.38

Computed properties:
SG: R3m, No. 160
Raw formation energy, meV per atom: -825
VASP energy, eV/atom: -4.560
V, Å³/cell: 405.3
Relative energy among the computed polymorphs, eV/f.u.: 0.00
Fermi-level density of states, states/eV/f.u.: 3.66
Size of the total moment, μB/cell: 0.01

Record 4
# PrPbBr5

A relaxed structure of PrPbBr5 (PBE, Alexandria via LeMat-Bulk).

a = 8.4884 Å, b = 4.4210 Å, c = 14.0639 Å
α = 90.00°, β = 93.13°, γ = 90.00°
Closest atoms and distances in Å follow each position.
Fractional coordinates of all 14 atoms:
Pr 0.0851 0.2500 0.1502  7 Br 2.90-3.15
Pr 0.9149 0.7500 0.8498  7 Br 2.90-3.15
Pb 0.4100 0.7500 0.3628  5 Br 2.99-3.15
Pb 0.5900 0.2500 0.6372  5 Br 2.99-3.15
Br 0.1162 0.2500 0.7927  2 Pr 2.93
Br 0.1454 0.2500 0.3635  1 Pr 3.02, 2 Pb 3.15
Br 0.1805 0.7500 0.0150  3 Pr 3.05-3.15
Br 0.3551 0.7500 0.5713  3 Pb 2.99-3.09
Br 0.4252 0.2500 0.1818  1 Pr 2.90
Br 0.5748 0.7500 0.8182  1 Pr 2.90
Br 0.6449 0.2500 0.4287  3 Pb 2.99-3.09
Br 0.8195 0.2500 0.9850  3 Pr 3.05-3.15
Br 0.8546 0.7500 0.6365  1 Pr 3.02, 2 Pb 3.15
Br 0.8838 0.7500 0.2073  2 Pr 2.93

Computed properties:
SG: P2_1/m, No. 11
Raw formation energy, meV per atom: -1444
VASP energy, eV/atom: -3.851
V, Å³/cell: 527.0
Fermi-level density of states, states/eV/f.u.: 0.00
Size of the total moment, μB/cell: 0.00

Q: Among the records above, which one has the lowest Fermi-level density of states?
A: PrPbBr5